PBE TcP2Pb, optimized geometry; calculated formation energy = 0.81 eV per atom; raw total energy = -21.65 eV/cell
1.0
3.356 0.000 0.000
0.000 4.530 0.000
0.000 0.000 4.624
Tc P Pb
1 2 1
Cartesian
0.000 0.000 0.000 Tc
0.000 2.265 2.312 P
1.678 0.000 2.312 P
1.678 2.265 0.000 Pb



PBE Nd3SmCd, optimized geometry; calculated formation energy = -0.11 eV per atom; raw total energy = -40.96 eV/cell; energy above the most stable polymorph in this dataset = 0 meV/atom
1.0
6.597 -1.893 0.000
6.597 1.893 0.000
-0.623 0.000 13.032
Nd Sm Cd
6 2 2
Cartesian
0.425 0.000 2.478 Nd
1.651 0.000 5.813 Nd
4.815 0.000 0.360 Nd
7.756 0.000 12.672 Nd
10.919 0.000 7.219 Nd
12.146 0.000 10.555 Nd
2.516 0.000 9.775 Sm
10.055 0.000 3.257 Sm
5.599 0.000 4.849 Cd
6.971 0.000 8.183 Cd



PBE MnPb2, optimized geometry; calculated formation energy = 0.43 eV per atom; raw total energy = -30.62 eV/cell
1.0
5.189 0.000 0.000
-2.595 4.494 0.000
0.000 0.000 6.731
Mn Pb
2 4
Cartesian
0.000 2.996 1.683 Mn
2.595 1.498 5.048 Mn
0.000 0.000 0.000 Pb
0.000 0.000 3.365 Pb
0.000 2.996 5.048 Pb
2.595 1.498 1.683 Pb



PBE Tl2SnHg3, optimized geometry; calculated formation energy = 0.03 eV per atom; raw total energy = -18.96 eV/cell; energy above the most stable polymorph in this dataset = 23 meV/atom
1.0
8.699 -2.936 0.000
8.699 2.936 0.000
0.000 0.000 6.709
Tl Sn Hg
4 2 6
Cartesian
3.091 0.014 0.000 Tl
3.091 -0.014 3.355 Tl
14.306 0.014 0.000 Tl
14.306 -0.014 3.355 Tl
8.699 0.346 3.300 Sn
8.699 -0.346 6.655 Sn
8.699 2.659 5.661 Hg
6.016 0.021 1.568 Hg
6.016 -0.021 4.923 Hg
11.382 0.021 1.568 Hg
11.382 -0.021 4.923 Hg
8.699 -2.659 2.306 Hg



PBE Tl2CrW, optimized geometry; calculated formation energy = 1.04 eV per atom; raw total energy = -23.16 eV/cell; energy above the most stable polymorph in this dataset = 435 meV/atom
1.0
-2.090 2.090 4.481
2.090 -2.090 4.481
2.090 2.090 -4.481
Tl Cr W
2 1 1
Cartesian
0.000 0.000 0.000 Tl
0.000 2.090 2.241 Tl
0.000 0.000 4.481 Cr
2.090 0.000 2.241 W



PBE LiZnSe2, optimized geometry; E_form (uncorrected) = -0.049 eV/atom; raw total energy = -10.35 eV/cell; energy above the most stable polymorph in this dataset = 556 meV/atom
1.0
1.475 0.852 10.749
-1.475 0.852 10.749
0.000 -1.704 10.749
Li Zn Se
1 1 2
Cartesian
0.000 0.000 0.000 Li
0.000 0.000 23.689 Zn
0.000 0.000 8.753 Se
0.000 0.000 15.341 Se



Quick rundown of ρ, same order as above: 8.7 7.1 9.9 10.9 13.7 4.7 g/cm³